A geometry-optimized La2ErSi3Ni12 structure, computed with GGA-PBE.

For the density of states at the Fermi level, the calculation gives 0.576 states/eV/atom. Its spin magnetization is 0.000 μB/cell. As for the uncorrected formation energy: -0.19 eV per atom.

Cell: 6.3824 6.3824 6.3824 Å, 84.97 84.97 84.97°
With the nearest neighbours (Å) after each atom.
Element x y z (fractional)
Ni (0.3129, 0.8078, 0.8078)  1 Si 2.28, 1 Ni 2.41, 1 La 2.46, 1 Er 2.53
Ni (0.8078, 0.8078, 0.3129)  1 Si 2.28, 1 Ni 2.41, 1 La 2.46, 1 Er 2.53
Ni (0.1922, 0.6871, 0.1922)  1 Si 2.28, 1 Ni 2.41, 1 La 2.46, 1 Er 2.53
Ni (0.8078, 0.3129, 0.8078)  1 Si 2.28, 1 Ni 2.41, 1 La 2.46, 1 Er 2.53
Ni (0.0791, 0.6249, 0.6249)  2 Ni 2.41-2.67, 2 Si 2.48
Ni (0.6249, 0.0791, 0.6249)  2 Ni 2.41-2.67, 2 Si 2.48
Ni (0.3751, 0.3751, 0.9209)  2 Ni 2.41-2.67, 2 Si 2.48
Ni (0.3751, 0.9209, 0.3751)  2 Ni 2.41-2.67, 2 Si 2.48
Ni (0.6871, 0.1922, 0.1922)  1 Si 2.28, 1 Ni 2.41, 1 La 2.46, 1 Er 2.53
Ni (0.9209, 0.3751, 0.3751)  2 Ni 2.41-2.67, 2 Si 2.48
Ni (0.1922, 0.1922, 0.6871)  1 Si 2.28, 1 Ni 2.41, 1 La 2.46, 1 Er 2.53
Ni (0.6249, 0.6249, 0.0791)  2 Ni 2.41-2.67, 2 Si 2.48
Er (0.0000, 0.0000, 0.0000)  6 Ni 2.53
La (0.6392, 0.6392, 0.6392)  3 Ni 2.46
La (0.3608, 0.3608, 0.3608)  3 Ni 2.46
Si (0.0000, 0.0000, 0.5000)  6 Ni 2.28-2.48
Si (0.0000, 0.5000, 0.0000)  6 Ni 2.28-2.48
Si (0.5000, 0.0000, 0.0000)  6 Ni 2.28-2.48